[1]
Compound: Tc2AgAs
Source: Alexandria
Functional: GGA-PBE
Structure: optimized geometry

Results
Crystal system = tetragonal

abc: 4.7983 4.7983 4.7983
angles: 130.92 130.92 71.93
Atoms (fractional coordinates):
Tc 0.0000 0.0000 0.0000
Ag 0.5000 0.5000 0.0000
Tc 0.2500 0.7500 0.5000
As 0.7500 0.2500 0.5000

[2]
Compound: Tc2AgAs2
Source: Alexandria
Functional: GGA-PBE
Structure: optimized geometry

Results
Crystal system = tetragonal

abc: 7.2521 7.2521 2.9942
angles: 90.00 90.00 90.00
Atoms (fractional coordinates):
As 0.3531 0.8531 0.0000
Tc 0.8533 0.3533 0.5000
As 0.1469 0.3531 0.0000
Tc 0.6467 0.8533 0.5000
As 0.6469 0.1469 0.0000
Ag 0.5000 0.5000 0.0000
Tc 0.3533 0.1467 0.5000
Tc 0.1467 0.6467 0.5000
As 0.8531 0.6469 0.0000
Ag 0.0000 0.0000 0.0000

[3]
Compound: Tc2AgAs
Source: Alexandria
Functional: GGA-PBE
Structure: optimized geometry

Results
Crystal system = orthorhombic

abc: 3.0478 4.5253 4.6065
angles: 90.00 90.00 90.00
Atoms (fractional coordinates):
Tc 0.5000 0.5000 0.0000
Tc 0.0000 0.0000 0.0000
As 0.0000 0.5000 0.5000
Ag 0.5000 0.0000 0.5000

[4]
Compound: TcAgAs
Source: Alexandria
Functional: GGA-PBE
Structure: optimized geometry

Results
Crystal system = cubic

abc: 4.2127 4.2127 4.2127
angles: 60.00 60.00 60.00
Atoms (fractional coordinates):
As 0.2500 0.2500 0.2500
Tc 0.0000 0.0000 0.0000
Ag 0.5000 0.5000 0.5000

[5]
Compound: Tc2AgAs
Source: Alexandria
Functional: GGA-PBE
Structure: optimized geometry

Results
Crystal system = tetragonal

abc: 7.3557 7.3557 5.7850
angles: 50.52 50.52 90.00
Atoms (fractional coordinates):
As 0.5000 0.5000 0.0000
Ag 0.7500 0.2500 0.5000
Tc 0.5684 0.1250 0.2500
Tc 0.3750 0.4316 0.7500
Tc 0.8750 0.8184 0.7500
As 0.2500 0.7500 0.5000
Tc 0.1816 0.6250 0.2500
Ag 0.0000 0.0000 0.0000

[6]
Compound: Tc2AgAs
Source: Alexandria
Functional: GGA-PBE
Structure: optimized geometry

Results
Crystal system = tetragonal

abc: 3.0515 3.0515 6.6525
angles: 90.00 90.00 90.00
Atoms (fractional coordinates):
Tc 0.0000 0.0000 0.5425
Tc 0.0000 0.0000 0.9575
Ag 0.5000 0.5000 0.2500
As 0.5000 0.5000 0.7500

Computed D(E_F) (states/eV/atom) in order:
0.92 0.88 0.97 0.93 0.91 1.18
Computed total energy (eV/cell) in order:
-26.32 -64.49 -25.88 -16.76 -51.81 -27.05